# Cu2PW

An optimized crystal structure of Cu2PW (PBE, Alexandria via LeMat-Bulk).

The formation enthalpy at 0 K is 243 meV per atom. The magnetic moment is 0.00 Bohr magnetons per cell.

Geometry as CIF:
```
data_Cu2PW
_cell_length_a 4.9036
_cell_length_b 8.3938
_cell_length_c 2.6498
_cell_angle_alpha 90.00
_cell_angle_beta 90.00
_cell_angle_gamma 90.00
_symmetry_space_group_name_H-M 'C m m m'
_symmetry_Int_Tables_number 65
_symmetry_space_group_name_Hall '-C 2 2'
loop_
_atom_site_label
_atom_site_fract_x
_atom_site_fract_y
_atom_site_fract_z
Cu1 0.2500 0.2500 0.0000
P1 0.0000 0.0000 0.5000
W1 0.0000 0.5000 0.5000
```

# CuP2W

An optimized crystal structure of CuP2W (PBE, Alexandria via LeMat-Bulk).

The formation enthalpy at 0 K is 166 meV per atom. The magnetic moment is 0.00 Bohr magnetons per cell.

Geometry as CIF:
```
data_CuP2W
_cell_length_a 3.4297
_cell_length_b 4.4030
_cell_length_c 7.1185
_cell_angle_alpha 90.00
_cell_angle_beta 90.00
_cell_angle_gamma 90.00
_symmetry_space_group_name_H-M 'I m m m'
_symmetry_Int_Tables_number 71
_symmetry_space_group_name_Hall '-I 2 2'
loop_
_atom_site_label
_atom_site_fract_x
_atom_site_fract_y
_atom_site_fract_z
Cu1 0.0000 0.0000 0.0000
P1 0.0000 0.5000 0.2776
W1 0.0000 0.0000 0.5000
```